No. 1
A geometry-optimized BaCr3 structure, computed with PBE.

Summary:
SG: R-3m
formation enthalpy at 0 K: 1.460 eV/atom
total DFT energy (no corrections): -6.238 eV per atom

a = 6.0254 Å, b = 6.0254 Å, c = 6.0254 Å
α = 116.87°, β = 116.87°, γ = 116.87°
Last column: nearest neighbours and their distance in Å.
Element x y z (fractional)
Ba1 0.0000 0.0000 0.0000  6 Cr 3.15, 2 Ba 3.23
Cr1 0.0000 0.5000 0.5000  6 Cr 3.15-3.23, 2 Ba 3.15
Cr2 0.5000 0.0000 0.5000  2 Ba 3.15, 6 Cr 3.15-3.23
Cr3 0.5000 0.5000 0.0000  6 Cr 3.15-3.23, 2 Ba 3.15


No. 2
A geometry-optimized CaTaRu2 structure, computed with PBE.

Summary:
SG: R-3m
formation enthalpy at 0 K: 0.154 eV/atom
total DFT energy (no corrections): -7.948 eV per atom

a = 8.6715 Å, b = 8.6715 Å, c = 8.6715 Å
α = 21.12°, β = 21.12°, γ = 21.12°
Last column: nearest neighbours and their distance in Å.
Element x y z (fractional)
Ca1 0.0000 0.0000 0.0000  6 Ru 3.01, 6 Ca 3.18
Ta1 0.5000 0.5000 0.5000  6 Ru 2.61
Ru1 0.2395 0.2395 0.2395  3 Ta 2.61
Ru2 0.7605 0.7605 0.7605  3 Ta 2.61


- The lowest total DFT energy (no corrections) belongs to which entry?
  CaTaRu2